# 1
Compound: CoBAs2Se
Source: the Alexandria database
Functional: PBE-GGA
Structure: relaxed

a b c (Å): 4.3762 4.3762 5.1813
angles (deg): 90.00 90.00 90.00
Closest atoms and distances in Å follow each position.
Space group P4/mmm (No. 123)
Asymmetric unit:
Co 0.0000 0.0000 0.0000 [1 per cell]  4 As 2.19
B 0.5000 0.5000 0.5000 [1 per cell]  4 Se 3.09, 8 As 3.39
As 0.0000 0.5000 0.0000 [2 per cell]  2 Co 2.19
Se 0.0000 0.0000 0.5000 [1 per cell]  2 Co 2.59

Calculated values
Formation energy from raw total energies ... 111.5 kJ/mol of atoms

# 2
Compound: AgHg2Os
Source: the Alexandria database
Functional: PBE-GGA
Structure: relaxed

a b c (Å): 6.6626 6.6626 6.6626
angles (deg): 90.00 90.00 90.00
Closest atoms and distances in Å follow each position.
Space group F-43m (No. 216)
Asymmetric unit:
Ag 0.0000 0.0000 0.0000 [4 per cell]  4 Os 2.88, 4 Hg 2.88
Hg 0.0000 0.0000 0.5000 [4 per cell]  4 Hg 2.88, 4 Os 2.88
Hg 0.2500 0.2500 0.2500 [4 per cell]  4 Hg 2.88, 4 Ag 2.88
Os 0.2500 0.2500 0.7500 [4 per cell]  4 Hg 2.88, 4 Ag 2.88

Calculated values
Formation energy from the elements ... 908 meV per atom

# 3
Compound: NaPrTlCd
Source: the Alexandria database
Functional: PBE-GGA
Structure: relaxed

a b c (Å): 7.6243 7.6243 7.6243
angles (deg): 90.00 90.00 90.00
Closest atoms and distances in Å follow each position.
Space group F-43m (No. 216)
Asymmetric unit:
Na 0.0000 0.0000 0.0000 [4 per cell]  4 Cd 3.30, 4 Tl 3.30
Pr 0.0000 0.0000 0.5000 [4 per cell]  4 Cd 3.30, 4 Tl 3.30
Tl 0.2500 0.2500 0.2500 [4 per cell]  4 Na 3.30, 4 Pr 3.30
Cd 0.2500 0.2500 0.7500 [4 per cell]  4 Na 3.30, 4 Pr 3.30

Calculated values
Formation energy from the elements ... -248 meV per atom

# 4
Compound: Ti3NbH8
Source: the Alexandria database
Functional: PBE-GGA
Structure: relaxed

a b c (Å): 4.4451 4.4451 8.8792
angles (deg): 90.00 90.00 90.00
Closest atoms and distances in Å follow each position.
Space group I4/mmm (No. 139)
Asymmetric unit:
Ti 0.0000 0.0000 0.0000 [2 per cell]  8 H 1.92
Ti 0.0000 0.5000 0.2500 [4 per cell]  8 H 1.91
Nb 0.0000 0.0000 0.5000 [2 per cell]  8 H 1.95
H 0.2464 0.2464 0.1271 [16 per cell]  3 Ti 1.91-1.92, 1 Nb 1.95

Calculated values
Raw total energy ... -5.4928 eV/atom

Magnetization values (in μB/cell) by entry order: 0.0; 0.0; 0.0; 0.0.